A relaxed NdSi2Pt8 crystal. Source: Alexandria, functional PBE-GGA.

Cell and atoms, written as POSCAR:
```
NdSi2Pt8
1.0
5.4364 0.0000 0.0000
0.0000 5.4364 0.0000
0.0000 0.0000 7.6870
Pt Si Nd
8 2 1
direct
0.2471 0.7529 0.8000
0.7529 0.7529 0.8000
0.7529 0.2471 0.2000
0.7529 0.2471 0.8000
0.2471 0.2471 0.8000
0.2471 0.2471 0.2000
0.7529 0.7529 0.2000
0.2471 0.7529 0.2000
0.5000 0.0000 0.0000
0.0000 0.5000 0.0000
0.5000 0.5000 0.5000
```

Computed properties:
Space-group type = No. 123
Uncorrected formation energy = -421 meV per atom
Size of the total moment = 0.000 Bohr magnetons per cell

=====

A relaxed Na2InAsC crystal. Source: Alexandria, functional PBE-GGA.

Cell and atoms, written as POSCAR:
```
Na2InAsC
1.0
-0.0149 4.8624 3.7664
-3.2254 2.3654 -3.0665
-4.7261 -2.4194 3.1048
C Na In As
1 2 1 1
direct
0.5000 0.5000 0.5000
0.5000 0.0000 0.0000
0.0000 0.0000 0.5000
0.0000 0.0000 0.0000
0.0000 0.5000 0.0000
```

Computed properties:
Space-group type = No. 123
Size of the total moment = 2.497 Bohr magnetons per cell
E_form = 1.4384 eV/atom

=====

A relaxed LiLa3Er2Te6 crystal. Source: Alexandria, functional PBE-GGA.

Cell and atoms, written as POSCAR:
```
LiLa3Er2Te6
1.0
-2.1273 3.3485 -1.9920
1.4568 -3.7852 -7.9186
-7.4403 -5.4346 3.7567
Te Er La Li
6 2 3 1
direct
0.0049 0.2343 0.0098
0.3294 0.4252 0.6588
0.9951 0.7657 0.9902
0.3392 0.9055 0.6784
0.6706 0.5748 0.3412
0.6608 0.0945 0.3216
0.8336 0.6629 0.6671
0.1664 0.3371 0.3329
0.1655 0.8325 0.3310
0.8345 0.1675 0.6690
0.5000 0.5000 0.0000
0.5000 0.0000 0.0000
```

Computed properties:
Space-group type = No. 12
Uncorrected formation energy = -1415 meV per atom
Size of the total moment = 0.000 Bohr magnetons per cell